No. 1
# SrTlCdP2, optimized geometry, DFT GGA-PBE
data_SrTlCdP2
_chemical_formula_sum 'Sr1 Tl1 Cd1 P2'
_cell_length_a 5.0936
_cell_length_b 5.8051
_cell_length_c 5.0936
_cell_angle_alpha 90.00
_cell_angle_beta 90.00
_cell_angle_gamma 90.00
_space_group_name_H-M_alt 'P 1'
_space_group_IT_number 1
loop_
_space_group_symop_operation_xyz
'x,y,z'
loop_
_atom_site_label
_atom_site_type_symbol
_atom_site_fract_x
_atom_site_fract_y
_atom_site_fract_z
_atom_site_occupancy
Tl1 Tl 0.5000 0.5000 0.5000 1
Sr1 Sr 0.0000 0.5000 0.0000 1
Cd1 Cd 0.0000 0.0000 0.0000 1
P1 P 0.5000 0.0000 0.0000 1
P2 P 0.0000 0.0000 0.5000 1
# - Crystal system: tetragonal
# - Volume: 150.6 Å³/cell
# - Size of the total moment: 0.00 μB/f.u.
# - Energy of formation: 429.4 meV/atom

***

No. 2
# BePd3Pb, optimized geometry, DFT GGA-PBE
data_BePd3Pb
_chemical_formula_sum 'Be1 Pd3 Pb1'
_cell_length_a 4.3612
_cell_length_b 4.3612
_cell_length_c 4.3612
_cell_angle_alpha 90.00
_cell_angle_beta 90.00
_cell_angle_gamma 90.00
_space_group_name_H-M_alt 'P 1'
_space_group_IT_number 1
loop_
_space_group_symop_operation_xyz
'x,y,z'
loop_
_atom_site_label
_atom_site_type_symbol
_atom_site_fract_x
_atom_site_fract_y
_atom_site_fract_z
_atom_site_occupancy
Pd1 Pd 0.5000 0.0000 0.0000 1
Pd2 Pd 0.0000 0.5000 0.0000 1
Pd3 Pd 0.0000 0.0000 0.5000 1
Pb1 Pb 0.5000 0.5000 0.5000 1
Be1 Be 0.0000 0.0000 0.0000 1
# - Crystal system: cubic
# - Volume: 82.9 Å³/cell
# - Size of the total moment: 0.00 μB/f.u.
# - Energy of formation: -189.7 meV/atom

***

No. 3
# ThGe2Os2, optimized geometry, DFT GGA-PBE
data_ThGe2Os2
_chemical_formula_sum 'Th2 Ge4 Os4'
_cell_length_a 5.6370
_cell_length_b 5.9178
_cell_length_c 7.3547
_cell_angle_alpha 79.20
_cell_angle_beta 66.77
_cell_angle_gamma 61.56
_space_group_name_H-M_alt 'P 1'
_space_group_IT_number 1
loop_
_space_group_symop_operation_xyz
'x,y,z'
loop_
_atom_site_label
_atom_site_type_symbol
_atom_site_fract_x
_atom_site_fract_y
_atom_site_fract_z
_atom_site_occupancy
Ge1 Ge 0.4437 0.6125 0.7501 1
Ge2 Ge 0.8216 0.8566 0.7498 1
Ge3 Ge 0.5563 0.3875 0.2499 1
Ge4 Ge 0.1784 0.1434 0.2502 1
Th1 Th 0.8565 0.7872 0.2500 1
Th2 Th 0.1434 0.2128 0.7500 1
Os1 Os 0.7238 0.2382 0.5268 1
Os2 Os 0.4623 0.7617 0.0269 1
Os3 Os 0.2762 0.7618 0.4732 1
Os4 Os 0.5377 0.2383 0.9731 1
# - Crystal system: monoclinic
# - Volume: 198.2 Å³/cell
# - Size of the total moment: 0.00 μB/f.u.
# - Energy of formation: -354.1 meV/atom

***

No. 4
# NdDy6Er2, optimized geometry, DFT GGA-PBE
data_NdDy6Er2
_chemical_formula_sum 'Nd1 Dy6 Er2'
_cell_length_a 3.5529
_cell_length_b 8.6842
_cell_length_c 12.7708
_cell_angle_alpha 132.72
_cell_angle_beta 82.06
_cell_angle_gamma 90.02
_space_group_name_H-M_alt 'P 1'
_space_group_IT_number 1
loop_
_space_group_symop_operation_xyz
'x,y,z'
loop_
_atom_site_label
_atom_site_type_symbol
_atom_site_fract_x
_atom_site_fract_y
_atom_site_fract_z
_atom_site_occupancy
Dy1 Dy 0.7784 0.1093 0.4439 1
Dy2 Dy 0.1106 0.4426 0.7774 1
Dy3 Dy 0.6672 0.6641 0.6646 1
Dy4 Dy 0.2216 0.8907 0.5561 1
Dy5 Dy 0.3328 0.3359 0.3354 1
Dy6 Dy 0.8894 0.5574 0.2226 1
Er1 Er 0.5562 0.2241 0.8884 1
Er2 Er 0.4438 0.7759 0.1116 1
Nd1 Nd 0.0000 0.0000 0.0000 1
# - Crystal system: triclinic
# - Volume: 284.3 Å³/cell
# - Size of the total moment: 0.00 μB/f.u.
# - Energy of formation: 18.2 meV/atom

***

No. 5
# Sr2MnPb2, optimized geometry, DFT GGA-PBE
data_Sr2MnPb2
_chemical_formula_sum 'Sr2 Mn1 Pb2'
_cell_length_a 4.3202
_cell_length_b 4.3202
_cell_length_c 10.0415
_cell_angle_alpha 77.58
_cell_angle_beta 77.58
_cell_angle_gamma 90.00
_space_group_name_H-M_alt 'P 1'
_space_group_IT_number 1
loop_
_space_group_symop_operation_xyz
'x,y,z'
loop_
_atom_site_label
_atom_site_type_symbol
_atom_site_fract_x
_atom_site_fract_y
_atom_site_fract_z
_atom_site_occupancy
Sr1 Sr 0.5951 0.5951 0.8099 1
Sr2 Sr 0.4049 0.4049 0.1901 1
Pb1 Pb 0.7500 0.2500 0.5000 1
Pb2 Pb 0.2500 0.7500 0.5000 1
Mn1 Mn 0.0000 0.0000 0.0000 1
# - Crystal system: tetragonal
# - Volume: 178.5 Å³/cell
# - Size of the total moment: 0.18 μB/f.u.
# - Energy of formation: 707.8 meV/atom

***

No. 6
# LaMo, optimized geometry, DFT GGA-PBE
data_LaMo
_chemical_formula_sum 'La8 Mo8'
_cell_length_a 11.2239
_cell_length_b 11.2239
_cell_length_c 3.2560
_cell_angle_alpha 90.00
_cell_angle_beta 90.00
_cell_angle_gamma 90.00
_space_group_name_H-M_alt 'P 1'
_space_group_IT_number 1
loop_
_space_group_symop_operation_xyz
'x,y,z'
loop_
_atom_site_label
_atom_site_type_symbol
_atom_site_fract_x
_atom_site_fract_y
_atom_site_fract_z
_atom_site_occupancy
La1 La 0.8111 0.1232 0.0000 1
La2 La 0.3111 0.6232 0.5000 1
La3 La 0.3768 0.3111 0.5000 1
La4 La 0.8768 0.8111 0.0000 1
La5 La 0.1232 0.1889 0.0000 1
La6 La 0.1889 0.8768 0.0000 1
La7 La 0.6889 0.3768 0.5000 1
La8 La 0.6232 0.6889 0.5000 1
Mo1 Mo 0.5562 0.1212 0.5000 1
Mo2 Mo 0.6212 0.9438 0.0000 1
Mo3 Mo 0.1212 0.4438 0.5000 1
Mo4 Mo 0.4438 0.8788 0.5000 1
Mo5 Mo 0.9438 0.3788 0.0000 1
Mo6 Mo 0.0562 0.6212 0.0000 1
Mo7 Mo 0.3788 0.0562 0.0000 1
Mo8 Mo 0.8788 0.5562 0.5000 1
# - Crystal system: tetragonal
# - Volume: 410.2 Å³/cell
# - Size of the total moment: 0.00 μB/f.u.
# - Energy of formation: 453.7 meV/atom

***

No. 7
# NaLiTl2, optimized geometry, DFT GGA-PBE
data_NaLiTl2
_chemical_formula_sum 'Na1 Li1 Tl2'
_cell_length_a 5.1843
_cell_length_b 5.1843
_cell_length_c 5.1843
_cell_angle_alpha 60.00
_cell_angle_beta 60.00
_cell_angle_gamma 60.00
_space_group_name_H-M_alt 'P 1'
_space_group_IT_number 1
loop_
_space_group_symop_operation_xyz
'x,y,z'
loop_
_atom_site_label
_atom_site_type_symbol
_atom_site_fract_x
_atom_site_fract_y
_atom_site_fract_z
_atom_site_occupancy
Na1 Na 0.5000 0.5000 0.5000 1
Li1 Li 0.0000 0.0000 0.0000 1
Tl1 Tl 0.7500 0.7500 0.7500 1
Tl2 Tl 0.2500 0.2500 0.2500 1
# - Crystal system: cubic
# - Volume: 98.5 Å³/cell
# - Size of the total moment: 0.00 μB/f.u.
# - Energy of formation: -129.9 meV/atom

***

No. 8
# K2InH6Ru, optimized geometry, DFT GGA-PBE
data_K2InH6Ru
_chemical_formula_sum 'K2 In1 H6 Ru1'
_cell_length_a 5.5851
_cell_length_b 5.5851
_cell_length_c 5.5602
_cell_angle_alpha 60.05
_cell_angle_beta 60.05
_cell_angle_gamma 90.24
_space_group_name_H-M_alt 'P 1'
_space_group_IT_number 1
loop_
_space_group_symop_operation_xyz
'x,y,z'
loop_
_atom_site_label
_atom_site_type_symbol
_atom_site_fract_x
_atom_site_fract_y
_atom_site_fract_z
_atom_site_occupancy
K1 K 0.7494 0.2506 0.5000 1
K2 K 0.2506 0.7495 0.5000 1
H1 H 0.2761 0.7240 0.0000 1
H2 H 0.2725 0.2726 0.0053 1
H3 H 0.7285 0.7285 0.5492 1
H4 H 0.7239 0.2760 0.0000 1
H5 H 0.7275 0.7274 0.9947 1
H6 H 0.2715 0.2715 0.4508 1
In1 In 0.0000 0.0000 0.0000 1
Ru1 Ru 0.5000 0.5000 0.0000 1
# - Crystal system: monoclinic
# - Total DFT energy (no corrections): -3.467 eV per atom
# - Volume: 122.6 Å³/cell
# - Size of the total moment: 0.26 μB/f.u.

***

No. 9
# NdGaNi4, optimized geometry, DFT GGA-PBE
data_NdGaNi4
_chemical_formula_sum 'Nd2 Ga2 Ni8'
_cell_length_a 3.7854
_cell_length_b 6.8026
_cell_length_c 7.0893
_cell_angle_alpha 90.00
_cell_angle_beta 90.00
_cell_angle_gamma 90.00
_space_group_name_H-M_alt 'P 1'
_space_group_IT_number 1
loop_
_space_group_symop_operation_xyz
'x,y,z'
loop_
_atom_site_label
_atom_site_type_symbol
_atom_site_fract_x
_atom_site_fract_y
_atom_site_fract_z
_atom_site_occupancy
Ni1 Ni 0.5000 0.9630 0.7500 1
Ni2 Ni 0.5000 0.0370 0.2500 1
Ni3 Ni 0.5000 0.7305 0.4518 1
Ni4 Ni 0.5000 0.2695 0.5482 1
Ni5 Ni 0.5000 0.7305 0.0482 1
Ni6 Ni 0.0000 0.0000 0.5000 1
Ni7 Ni 0.5000 0.2695 0.9518 1
Ni8 Ni 0.0000 0.0000 0.0000 1
Ga1 Ga 0.0000 0.7831 0.2500 1
Ga2 Ga 0.0000 0.2169 0.7500 1
Nd1 Nd 0.0000 0.3546 0.2500 1
Nd2 Nd 0.0000 0.6454 0.7500 1
# - Crystal system: orthorhombic
# - Volume: 182.6 Å³/cell
# - Size of the total moment: 0.00 μB/f.u.
# - Energy of formation: -254.7 meV/atom

***

No. 10
# Dy3InRu, optimized geometry, DFT GGA-PBE
data_Dy3InRu
_chemical_formula_sum 'Dy6 In2 Ru2'
_cell_length_a 5.8264
_cell_length_b 5.8264
_cell_length_c 8.7343
_cell_angle_alpha 102.25
_cell_angle_beta 102.25
_cell_angle_gamma 111.34
_space_group_name_H-M_alt 'P 1'
_space_group_IT_number 1
loop_
_space_group_symop_operation_xyz
'x,y,z'
loop_
_atom_site_label
_atom_site_type_symbol
_atom_site_fract_x
_atom_site_fract_y
_atom_site_fract_z
_atom_site_occupancy
Ru1 Ru 0.7500 0.7500 0.0000 1
Ru2 Ru 0.2500 0.2500 0.0000 1
Dy1 Dy 0.6977 0.5787 0.2764 1
Dy2 Dy 0.6999 0.1998 0.8997 1
Dy3 Dy 0.9214 0.8023 0.7236 1
Dy4 Dy 0.0786 0.1977 0.2764 1
Dy5 Dy 0.3023 0.4213 0.7236 1
Dy6 Dy 0.3001 0.8002 0.1003 1
In1 In 0.2904 0.7904 0.5000 1
In2 In 0.7096 0.2096 0.5000 1
# - Crystal system: orthorhombic
# - Volume: 255.9 Å³/cell
# - Size of the total moment: 0.00 μB/f.u.
# - Energy of formation: -406.9 meV/atom

***

No. 11
# HfMgNb, optimized geometry, DFT GGA-PBE
data_HfMgNb
_chemical_formula_sum 'Hf2 Mg2 Nb2'
_cell_length_a 5.6273
_cell_length_b 5.4358
_cell_length_c 5.7714
_cell_angle_alpha 75.38
_cell_angle_beta 60.82
_cell_angle_gamma 58.83
_space_group_name_H-M_alt 'P 1'
_space_group_IT_number 1
loop_
_space_group_symop_operation_xyz
'x,y,z'
loop_
_atom_site_label
_atom_site_type_symbol
_atom_site_fract_x
_atom_site_fract_y
_atom_site_fract_z
_atom_site_occupancy
Nb1 Nb 0.7500 0.5000 0.5000 1
Nb2 Nb 0.2500 0.5000 0.5000 1
Hf1 Hf 0.3320 0.0000 0.3359 1
Hf2 Hf 0.6680 0.0000 0.6641 1
Mg1 Mg 0.8336 0.3328 0.0000 1
Mg2 Mg 0.1664 0.6672 0.0000 1
# - Crystal system: orthorhombic
# - Volume: 131.9 Å³/cell
# - Size of the total moment: 0.01 μB/f.u.
# - Energy of formation: 378.0 meV/atom

***

No. 12
# Sr2MoRh, optimized geometry, DFT GGA-PBE
data_Sr2MoRh
_chemical_formula_sum 'Sr4 Mo2 Rh2'
_cell_length_a 11.3130
_cell_length_b 11.3130
_cell_length_c 8.3502
_cell_angle_alpha 47.36
_cell_angle_beta 47.36
_cell_angle_gamma 90.00
_space_group_name_H-M_alt 'P 1'
_space_group_IT_number 1
loop_
_space_group_symop_operation_xyz
'x,y,z'
loop_
_atom_site_label
_atom_site_type_symbol
_atom_site_fract_x
_atom_site_fract_y
_atom_site_fract_z
_atom_site_occupancy
Mo1 Mo 0.5000 0.5000 0.0000 1
Mo2 Mo 0.2500 0.7500 0.5000 1
Sr1 Sr 0.7938 0.1250 0.2500 1
Sr2 Sr 0.3750 0.2062 0.7500 1
Sr3 Sr 0.9562 0.6250 0.2500 1
Sr4 Sr 0.8750 0.0438 0.7500 1
Rh1 Rh 0.0000 0.0000 0.0000 1
Rh2 Rh 0.7500 0.2500 0.5000 1
# - Crystal system: tetragonal
# - Volume: 306.5 Å³/cell
# - Size of the total moment: 2.71 μB/f.u.
# - Energy of formation: 615.9 meV/atom